# 1
Below is YScHg2 after structural relaxation, with properties calculated at the PBE level.

Lattice parameters (Å, degrees): 3.6659 3.6659 26.6801 90.00 90.00 120.00
Fractional positions:
Y1 0.0000 0.0000 0.0000
Y2 0.3333 0.6667 0.6667
Y3 0.6667 0.3333 0.3333
Sc1 0.0000 0.0000 0.5000
Sc2 0.3333 0.6667 0.1667
Sc3 0.6667 0.3333 0.8333
Hg1 0.0000 0.0000 0.2458
Hg2 0.0000 0.0000 0.7542
Hg3 0.3333 0.6667 0.4209
Hg4 0.3333 0.6667 0.9124
Hg5 0.6667 0.3333 0.0876
Hg6 0.6667 0.3333 0.5791

Results
The formation energy is -0.3242 eV per atom. The value obtained for the final energy is -3.67 eV/atom. The value obtained for the distance to the lowest polymorph of the same formula is 0.141 eV/atom.

***

# 2
Below is RbNiP2S after structural relaxation, with properties calculated at the PBE level.

Lattice parameters (Å, degrees): 4.4609 4.4609 5.2563 90.00 90.00 90.00
Fractional positions:
Rb1 0.0000 0.0000 0.0000
Ni1 0.5000 0.5000 0.5000
P1 0.0000 0.5000 0.5000
P2 0.5000 0.0000 0.5000
S1 0.5000 0.5000 0.0000

Results
The value obtained for the final energy is -4.13 eV/atom. The uncorrected formation energy is 1.0 eV per formula unit. The value obtained for the distance to the lowest polymorph of the same formula is 0.000 eV/atom.

***

# 3
Below is VIr2Os after structural relaxation, with properties calculated at the PBE level.

Lattice parameters (Å, degrees): 3.8282 3.8282 3.8515 90.00 90.00 90.00
Fractional positions:
V1 0.0000 0.0000 0.0000
Ir1 0.0000 0.5000 0.5000
Ir2 0.5000 0.0000 0.5000
Os1 0.5000 0.5000 0.0000

Results
The formation energy is -0.3586 eV per atom. The value obtained for the final energy is -9.88 eV/atom. The value obtained for the distance to the lowest polymorph of the same formula is 0.000 eV/atom.

***

# 4
Below is ErNbOsRu after structural relaxation, with properties calculated at the PBE level.

Lattice parameters (Å, degrees): 3.2317 3.2317 6.7555 90.00 90.00 90.00
Fractional positions:
Er1 0.0000 0.0000 0.0000
Nb1 0.0000 0.0000 0.4984
Os1 0.5000 0.5000 0.7235
Ru1 0.5000 0.5000 0.2719

Results
The formation energy is -0.3276 eV per atom. The value obtained for the final energy is -9.11 eV/atom. The value obtained for the distance to the lowest polymorph of the same formula is 0.000 eV/atom.

***

# 5
Below is PmZrSbAu after structural relaxation, with properties calculated at the PBE level.

Lattice parameters (Å, degrees): 7.2666 7.2666 7.2666 90.00 90.00 90.00
Fractional positions:
Pm1 0.0000 0.0000 0.0000
Pm2 0.0000 0.5000 0.5000
Pm3 0.5000 0.0000 0.5000
Pm4 0.5000 0.5000 0.0000
Zr1 0.0000 0.0000 0.5000
Zr2 0.0000 0.5000 0.0000
Zr3 0.5000 0.0000 0.0000
Zr4 0.5000 0.5000 0.5000
Sb1 0.2500 0.2500 0.7500
Sb2 0.2500 0.7500 0.2500
Sb3 0.7500 0.2500 0.2500
Sb4 0.7500 0.7500 0.7500
Au1 0.2500 0.2500 0.2500
Au2 0.2500 0.7500 0.7500
Au3 0.7500 0.2500 0.7500
Au4 0.7500 0.7500 0.2500

Results
The value obtained for the final energy is -5.73 eV/atom. The uncorrected formation energy is -2.2 eV per formula unit.

***

# 6
Below is La2PuHg4 after structural relaxation, with properties calculated at the PBE level.

Lattice parameters (Å, degrees): 5.4382 5.4382 7.2907 90.00 90.00 90.00
Fractional positions:
La1 0.0000 0.0000 0.0000
La2 0.5000 0.5000 0.5000
Pu1 0.0000 0.0000 0.5000
Hg1 0.0000 0.5000 0.2432
Hg2 0.0000 0.5000 0.7568
Hg3 0.5000 0.0000 0.2432
Hg4 0.5000 0.0000 0.7568

Results
The formation energy is -0.2613 eV per atom. The value obtained for the final energy is -3.89 eV/atom.

***

Repeat the first record exactly.
Below is YScHg2 after structural relaxation, with properties calculated at the PBE level.

Lattice parameters (Å, degrees): 3.6659 3.6659 26.6801 90.00 90.00 120.00
Fractional positions:
Y1 0.0000 0.0000 0.0000
Y2 0.3333 0.6667 0.6667
Y3 0.6667 0.3333 0.3333
Sc1 0.0000 0.0000 0.5000
Sc2 0.3333 0.6667 0.1667
Sc3 0.6667 0.3333 0.8333
Hg1 0.0000 0.0000 0.2458
Hg2 0.0000 0.0000 0.7542
Hg3 0.3333 0.6667 0.4209
Hg4 0.3333 0.6667 0.9124
Hg5 0.6667 0.3333 0.0876
Hg6 0.6667 0.3333 0.5791

Results
The formation energy is -0.3242 eV per atom. The value obtained for the final energy is -3.67 eV/atom. The value obtained for the distance to the lowest polymorph of the same formula is 0.141 eV/atom.

***

Question: Which value of final energy does entry 3 give?
Answer: -9.88 eV/atom

***

What did the second record say?
Below is RbNiP2S after structural relaxation, with properties calculated at the PBE level.

Lattice parameters (Å, degrees): 4.4609 4.4609 5.2563 90.00 90.00 90.00
Fractional positions:
Rb1 0.0000 0.0000 0.0000
Ni1 0.5000 0.5000 0.5000
P1 0.0000 0.5000 0.5000
P2 0.5000 0.0000 0.5000
S1 0.5000 0.5000 0.0000

Results
The value obtained for the final energy is -4.13 eV/atom. The uncorrected formation energy is 1.0 eV per formula unit. The value obtained for the distance to the lowest polymorph of the same formula is 0.000 eV/atom.

***

Question: Which of these has the lowest final energy?
Answer: VIr2Os